## RbCoF4 (PBE with a Hubbard U)

Data for a relaxed RbCoF4 crystal.

Cell: 7.253 7.253 5.336 Å, 109.89 109.89 44.48°
Fractional coordinates of all 12 atoms:
Rb: 0.235 0.765 0.750
Rb: 0.765 0.235 0.250
Co: 0.000 0.500 0.000
Co: 0.500 0.000 0.500
F: 0.153 0.291 0.263
F: 0.200 0.587 0.158
F: 0.291 0.153 0.763
F: 0.413 0.800 0.342
F: 0.587 0.200 0.658
F: 0.709 0.847 0.237
F: 0.800 0.413 0.842
F: 0.847 0.709 0.737

space group: C2/c, No. 15
final energy: -4.4794 eV/atom
energy above the lowest structure with this stoichiometry: 72.7 meV per atom
total magnetization: 2.008 μB per formula unit